# Pr4YHo4, relaxed, DFT PBE-GGA
# DFT formation energy: 0.104 eV/atom
# energy relative to the lowest polymorph listed for this composition: 83.9 meV/atom
data_Pr4YHo4
_chemical_formula_sum 'Pr4 Y1 Ho4'
_symmetry_space_group_name_H-M 'P 1'
_symmetry_Int_Tables_number 1
_cell_length_a 5.706
_cell_length_b 9.085
_cell_length_c 8.991
_cell_angle_alpha 43.91
_cell_angle_beta 71.51
_cell_angle_gamma 71.70
loop_
_symmetry_equiv_pos_as_xyz
'x,y,z'
loop_
_atom_site_label
_atom_site_type_symbol
_atom_site_fract_x
_atom_site_fract_y
_atom_site_fract_z
Pr1 Pr 0.280 0.157 0.283
Pr2 Pr 0.720 0.843 0.717
Pr3 Pr 0.867 0.309 0.957
Pr4 Pr 0.133 0.691 0.043
Y1 Y 0.500 0.000 0.000
Ho1 Ho 0.620 0.423 0.336
Ho2 Ho 0.929 0.767 0.374
Ho3 Ho 0.380 0.577 0.664
Ho4 Ho 0.071 0.233 0.626